{
  "formula": "AcDyBi2",
  "functional": "PBE",
  "state": "optimized geometry",
  "cell": [[8.1113, 0.0000, 0.0000], [0.0000, 4.6870, 0.0000], [-2.7099, 0.0000, 7.6225]],
  "species": ["Ac", "Ac", "Dy", "Dy", "Bi", "Bi", "Bi", "Bi"],
  "frac_coords": [[0.0000, 0.0000, 0.0000], [0.5000, 0.5000, 0.0000], [0.0000, 0.5000, 0.5000], [0.5000, 0.0000, 0.5000], [0.2423, 0.0000, 0.7267], [0.2577, 0.5000, 0.2733], [0.7423, 0.5000, 0.7267], [0.7577, 0.0000, 0.2733]],
  "total_magnetization_mub_per_fu": 0.00,
  "e_form_ev_per_atom": -0.914,
  "total_energy_ev_per_atom": -5.033
}

---

{
  "formula": "TbPrNd2",
  "functional": "PBE",
  "state": "optimized geometry",
  "cell": [[8.2274, 0.0000, 0.0000], [0.0000, 8.2274, 0.0000], [0.0000, 0.0000, 8.2274]],
  "species": ["Tb", "Tb", "Tb", "Tb", "Pr", "Pr", "Pr", "Pr", "Nd", "Nd", "Nd", "Nd", "Nd", "Nd", "Nd", "Nd"],
  "frac_coords": [[0.0000, 0.0000, 0.0000], [0.0000, 0.5000, 0.5000], [0.5000, 0.0000, 0.5000], [0.5000, 0.5000, 0.0000], [0.0000, 0.0000, 0.5000], [0.0000, 0.5000, 0.0000], [0.5000, 0.0000, 0.0000], [0.5000, 0.5000, 0.5000], [0.2500, 0.2500, 0.2500], [0.2500, 0.2500, 0.7500], [0.2500, 0.7500, 0.2500], [0.2500, 0.7500, 0.7500], [0.7500, 0.2500, 0.2500], [0.7500, 0.2500, 0.7500], [0.7500, 0.7500, 0.2500], [0.7500, 0.7500, 0.7500]],
  "total_magnetization_mub_per_fu": 0.01,
  "e_form_ev_per_atom": 0.138,
  "total_energy_ev_per_atom": -4.599
}

---

{
  "formula": "YSn2Pd9",
  "functional": "PBE",
  "state": "optimized geometry",
  "cell": [[4.0863, 0.0000, 0.0000], [0.0000, 4.0863, 0.0000], [0.0000, 0.0000, 12.1324]],
  "species": ["Y", "Sn", "Sn", "Pd", "Pd", "Pd", "Pd", "Pd", "Pd", "Pd", "Pd", "Pd"],
  "frac_coords": [[0.0000, 0.0000, 0.0000], [0.0000, 0.0000, 0.3353], [0.0000, 0.0000, 0.6647], [0.0000, 0.5000, 0.1735], [0.0000, 0.5000, 0.5000], [0.0000, 0.5000, 0.8265], [0.5000, 0.0000, 0.1735], [0.5000, 0.0000, 0.5000], [0.5000, 0.0000, 0.8265], [0.5000, 0.5000, 0.0000], [0.5000, 0.5000, 0.3371], [0.5000, 0.5000, 0.6629]],
  "total_magnetization_mub_per_fu": 0.00,
  "e_form_ev_per_atom": -0.621,
  "total_energy_ev_per_atom": -5.721
}

---

| no. | DOS(E_F) (states/eV/cell) |
| --- | --- |
| 1 | 1.19 |
| 2 | 44.16 |
| 3 | 4.26 |